Li2BH6: optimized geometry, PBE.

The structure belongs to space group P2_1/c (No. 14); the cell edges are 5.135, 4.929 and 5.764 Å and the angles 90.00°, 122.41° and 90.00°. The distinct sites, in fractional coordinates, are Li at (0.201, 0.108, 0.251), B at (0.500, 0.000, 0.000), H at (0.162, 0.102, 0.918), H at (0.402, 0.503, 0.241) and H at (0.406, 0.745, 0.977).

The value obtained for the total energy is -59.94 eV/cell. Its energy above the most stable polymorph in this dataset is 0 meV/atom.